# 1
# KIn2P PBE-GGA optimized geometry
data_KIn2P
_chemical_formula_sum 'K2 In4 P2'
_space_group_name_H-M_alt 'C m m m'
_space_group_IT_number 65
_space_group_name_Hall '-C 2 2'
_cell_length_a 6.283
_cell_length_b 9.962
_cell_length_c 3.977
_cell_angle_alpha 90.00
_cell_angle_beta 90.00
_cell_angle_gamma 90.00
loop_
_atom_site_label
_atom_site_fract_x
_atom_site_fract_y
_atom_site_fract_z
K1 0.000 0.000 0.000
In1 0.000 0.318 0.500
P1 0.000 0.500 0.000
# ΔH_f (0 K) = -0.162 eV per atom

# 2
# LaCeBiSb PBE-GGA optimized geometry
data_LaCeBiSb
_chemical_formula_sum 'La3 Ce3 Bi3 Sb3'
_space_group_name_H-M_alt 'R 3 m'
_space_group_IT_number 160
_space_group_name_Hall 'R 3 -2"'
_cell_length_a 4.6065
_cell_length_b 4.6065
_cell_length_c 22.6192
_cell_angle_alpha 90.00
_cell_angle_beta 90.00
_cell_angle_gamma 120.00
loop_
_atom_site_label
_atom_site_fract_x
_atom_site_fract_y
_atom_site_fract_z
La1 0.0000 0.0000 0.0000
Ce1 0.0000 0.0000 0.5038
Bi1 0.0000 0.0000 0.7544
Sb1 0.0000 0.0000 0.2495
# Formation energy (no corrections) = -1.042 eV/atom

# 3
# NaIrN PBE-GGA optimized geometry
data_NaIrN
_chemical_formula_sum 'Na3 Ir3 N3'
_space_group_name_H-M_alt 'R 3 m'
_space_group_IT_number 160
_space_group_name_Hall 'R 3 -2"'
_cell_length_a 3.1873
_cell_length_b 3.1873
_cell_length_c 15.7703
_cell_angle_alpha 90.00
_cell_angle_beta 90.00
_cell_angle_gamma 120.00
loop_
_atom_site_label
_atom_site_fract_x
_atom_site_fract_y
_atom_site_fract_z
Na1 0.0000 0.0000 0.0000
Ir1 0.0000 0.0000 0.1797
N1 0.0000 0.0000 0.8013
# Distance to the lowest polymorph of the same formula = 0.0481 eV per atom
# Formation energy (no corrections) = 0.239 eV/atom

# 4
# CeAgGePd PBE-GGA optimized geometry
data_CeAgGePd
_chemical_formula_sum 'Ce4 Ag4 Ge4 Pd4'
_space_group_name_H-M_alt 'F -4 3 m'
_space_group_IT_number 216
_space_group_name_Hall 'F -4 2 3'
_cell_length_a 6.858
_cell_length_b 6.858
_cell_length_c 6.858
_cell_angle_alpha 90.00
_cell_angle_beta 90.00
_cell_angle_gamma 90.00
loop_
_atom_site_label
_atom_site_fract_x
_atom_site_fract_y
_atom_site_fract_z
Ce1 0.000 0.000 0.000
Ag1 0.000 0.000 0.500
Ge1 0.250 0.250 0.250
Pd1 0.250 0.250 0.750
# ΔH_f (0 K) = -0.406 eV per atom

# 5
# NaAg2Se2 PBE-GGA optimized geometry
data_NaAg2Se2
_chemical_formula_sum 'Na1 Ag2 Se2'
_space_group_name_H-M_alt 'P 4/m m m'
_space_group_IT_number 123
_space_group_name_Hall '-P 4 2'
_cell_length_a 5.145
_cell_length_b 5.145
_cell_length_c 4.920
_cell_angle_alpha 90.00
_cell_angle_beta 90.00
_cell_angle_gamma 90.00
loop_
_atom_site_label
_atom_site_fract_x
_atom_site_fract_y
_atom_site_fract_z
Na1 0.000 0.000 0.000
Ag1 0.000 0.000 0.500
Ag2 0.500 0.500 0.500
Se1 0.000 0.500 0.000
# Distance to the lowest polymorph of the same formula = 0.8861 eV per atom
# Formation energy (no corrections) = 0.560 eV/atom

# 6
# Ta3CdOs PBE-GGA optimized geometry
data_Ta3CdOs
_chemical_formula_sum 'Ta3 Cd1 Os1'
_space_group_name_H-M_alt 'P m -3 m'
_space_group_IT_number 221
_space_group_name_Hall '-P 4 2 3'
_cell_length_a 4.871
_cell_length_b 4.871
_cell_length_c 4.871
_cell_angle_alpha 90.00
_cell_angle_beta 90.00
_cell_angle_gamma 90.00
loop_
_atom_site_label
_atom_site_fract_x
_atom_site_fract_y
_atom_site_fract_z
Ta1 0.000 0.000 0.500
Cd1 0.500 0.500 0.500
Os1 0.000 0.000 0.000
# ΔH_f (0 K) = 1.060 eV per atom
# Distance to the lowest polymorph of the same formula = 0.0000 eV per atom

# 7
# Ni4Rh3 PBE-GGA optimized geometry
data_Ni4Rh3
_chemical_formula_sum 'Ni24 Rh18'
_space_group_name_H-M_alt 'R -3'
_space_group_IT_number 148
_space_group_name_Hall '-R 3'
_cell_length_a 10.9296
_cell_length_b 10.9296
_cell_length_c 5.0546
_cell_angle_alpha 90.00
_cell_angle_beta 90.00
_cell_angle_gamma 120.00
loop_
_atom_site_label
_atom_site_fract_x
_atom_site_fract_y
_atom_site_fract_z
Ni1 0.0000 0.0000 0.0000
Ni2 0.0000 0.0000 0.5000
Ni3 0.0420 0.8192 0.1462
Rh1 0.0442 0.8018 0.6434
# ΔH_f (0 K) = 0.123 eV per atom
# Distance to the lowest polymorph of the same formula = 0.0808 eV per atom

# 8
# GaCuSi PBE-GGA optimized geometry
data_GaCuSi
_chemical_formula_sum 'Ga2 Cu2 Si2'
_space_group_name_H-M_alt 'P 1'
_space_group_IT_number 1
_cell_length_a 2.688
_cell_length_b 5.871
_cell_length_c 6.416
_cell_angle_alpha 68.57
_cell_angle_beta 78.01
_cell_angle_gamma 89.61
loop_
_space_group_symop_operation_xyz
'x,y,z'
loop_
_atom_site_label
_atom_site_fract_x
_atom_site_fract_y
_atom_site_fract_z
Ga1 0.000 0.000 0.000
Ga2 0.248 0.058 0.500
Cu1 0.585 0.720 0.827
Cu2 0.929 0.345 0.142
Si1 0.151 0.448 0.698
Si2 0.356 0.609 0.282
# Formation energy (no corrections) = 0.087 eV/atom

# 9
# Tb4Nd3Mg PBE-GGA optimized geometry
data_Tb4Nd3Mg
_chemical_formula_sum 'Tb8 Nd6 Mg2'
_space_group_name_H-M_alt 'C 1 2/m 1'
_space_group_IT_number 12
_cell_length_a 25.881
_cell_length_b 3.434
_cell_length_c 5.946
_cell_angle_alpha 90.00
_cell_angle_beta 96.29
_cell_angle_gamma 90.00
loop_
_space_group_symop_operation_xyz
'x,y,z'
'-x,-y,-z'
'-x,y,-z'
'x,-y,z'
'x+1/2,y+1/2,z'
'-x+1/2,-y+1/2,-z'
'-x+1/2,y+1/2,-z'
'x+1/2,-y+1/2,z'
loop_
_atom_site_label
_atom_site_fract_x
_atom_site_fract_y
_atom_site_fract_z
Tb1 0.102 0.000 0.191
Tb2 0.218 0.500 0.237
Nd1 0.000 0.000 0.500
Nd2 0.149 0.000 0.716
Mg1 0.000 0.500 0.000
# ΔH_f (0 K) = 0.179 eV per atom
# Distance to the lowest polymorph of the same formula = 0.1684 eV per atom

# 10
# LiBiHPb2 PBE-GGA optimized geometry
data_LiBiHPb2
_chemical_formula_sum 'Li1 Bi1 H1 Pb2'
_space_group_name_H-M_alt 'P 4/m m m'
_space_group_IT_number 123
_space_group_name_Hall '-P 4 2'
_cell_length_a 4.907
_cell_length_b 4.907
_cell_length_c 5.015
_cell_angle_alpha 90.00
_cell_angle_beta 90.00
_cell_angle_gamma 90.00
loop_
_atom_site_label
_atom_site_fract_x
_atom_site_fract_y
_atom_site_fract_z
Li1 0.000 0.000 0.000
Bi1 0.500 0.500 0.000
H1 0.500 0.500 0.500
Pb1 0.000 0.500 0.500
# Distance to the lowest polymorph of the same formula = 0.0636 eV per atom

# 11
# Cd2InRh PBE-GGA optimized geometry
data_Cd2InRh
_chemical_formula_sum 'Cd6 In3 Rh3'
_space_group_name_H-M_alt 'R 3 m'
_space_group_IT_number 160
_space_group_name_Hall 'R 3 -2"'
_cell_length_a 3.1960
_cell_length_b 3.1960
_cell_length_c 27.6624
_cell_angle_alpha 90.00
_cell_angle_beta 90.00
_cell_angle_gamma 120.00
loop_
_atom_site_label
_atom_site_fract_x
_atom_site_fract_y
_atom_site_fract_z
Cd1 0.0000 0.0000 0.0000
Cd2 0.0000 0.0000 0.2420
In1 0.0000 0.0000 0.7597
Rh1 0.0000 0.0000 0.4990
# ΔH_f (0 K) = -0.001 eV per atom

# 12
# TiNi2Sn PBE-GGA optimized geometry
data_TiNi2Sn
_chemical_formula_sum 'Ti1 Ni2 Sn1'
_space_group_name_H-M_alt 'P 4/m m m'
_space_group_IT_number 123
_space_group_name_Hall '-P 4 2'
_cell_length_a 3.201
_cell_length_b 3.201
_cell_length_c 5.846
_cell_angle_alpha 90.00
_cell_angle_beta 90.00
_cell_angle_gamma 90.00
loop_
_atom_site_label
_atom_site_fract_x
_atom_site_fract_y
_atom_site_fract_z
Ti1 0.000 0.000 0.000
Ni1 0.500 0.500 0.215
Sn1 0.000 0.000 0.500
# ΔH_f (0 K) = -0.332 eV per atom

Please write out number 12 again, unchanged.
# TiNi2Sn PBE-GGA optimized geometry
data_TiNi2Sn
_chemical_formula_sum 'Ti1 Ni2 Sn1'
_space_group_name_H-M_alt 'P 4/m m m'
_space_group_IT_number 123
_space_group_name_Hall '-P 4 2'
_cell_length_a 3.201
_cell_length_b 3.201
_cell_length_c 5.846
_cell_angle_alpha 90.00
_cell_angle_beta 90.00
_cell_angle_gamma 90.00
loop_
_atom_site_label
_atom_site_fract_x
_atom_site_fract_y
_atom_site_fract_z
Ti1 0.000 0.000 0.000
Ni1 0.500 0.500 0.215
Sn1 0.000 0.000 0.500
# ΔH_f (0 K) = -0.332 eV per atom